Record 1
A plane-wave DFT calculation with SCAN was carried out for a crystal of AlCdRe2 relaxed with PBEsol.

```
AlCdRe2
1.0
3.822 0.000 0.000
0.000 3.822 0.000
0.000 0.000 8.531
Al Cd Re
2 2 4
Direct
0.000 0.000 0.000
0.500 0.500 0.500
0.000 0.000 0.500
0.500 0.500 0.000
0.000 0.500 0.250
0.000 0.500 0.750
0.500 0.000 0.250
0.500 0.000 0.750
```

Properties
ΔH_f (0 K) = 2.0 eV per formula unit
D(E_F) = 7.3 states/eV per cell
VASP energy = -44.601 eV per atom
SG = No. 139

---

Record 2
A plane-wave DFT calculation with SCAN was carried out for a crystal of Ta2HgSe relaxed with PBEsol.

```
Ta2HgSe
1.0
3.082 0.000 0.000
0.000 3.082 0.000
0.000 0.000 7.265
Ta Hg Se
2 1 1
Direct
0.000 0.000 0.220
0.000 0.000 0.780
0.500 0.500 0.500
0.500 0.500 0.000
```

Properties
D(E_F) = 0.9 states/eV per cell
VASP energy = -55.312 eV per atom
SG = No. 123
formation energy (no corrections) = 0.0408 eV per atom

---

Record 3
A plane-wave DFT calculation with SCAN was carried out for a crystal of ScInRh2 relaxed with PBEsol.

```
ScInRh2
1.0
3.212 0.000 0.000
0.000 3.212 0.000
0.000 0.000 6.240
Sc In Rh
1 1 2
Direct
0.000 0.000 0.000
0.000 0.000 0.500
0.500 0.500 0.247
0.500 0.500 0.753
```

Properties
ΔH_f (0 K) = -3.5 eV per formula unit
D(E_F) = 1.3 states/eV per cell
VASP energy = -29.657 eV per atom
SG = No. 123